Entry 1:
Density functional theory data (PBE) for a relaxed structure of GaCuPt2S.

Unit cell a=4.656 b=4.656 c=4.457 alpha=90.00 beta=90.00 gamma=90.00
Space group P4/mmm (No. 123)
One atom of each set of equivalent atoms:
Ga 0.000 0.000 0.000 (multiplicity 1)
Cu 0.000 0.000 0.500 (multiplicity 1)
Pt 0.000 0.500 0.000 (multiplicity 2)
S 0.500 0.500 0.500 (multiplicity 1)

size of the total moment = 0.00 Bohr magnetons per cell
energy relative to the elements, uncorrected = 0.7784 eV per atom

***

Entry 2:
Density functional theory data (PBE) for a relaxed structure of PmHo3Sn3.

Unit cell a=9.1705 b=9.1705 c=5.3926 alpha=90.00 beta=90.00 gamma=120.00
Space group P6_3/m (No. 176)
One atom of each set of equivalent atoms:
Pm 0.3333 0.6667 0.2500 (multiplicity 2)
Ho 0.0037 0.2384 0.2500 (multiplicity 6)
Sn 0.0738 0.4498 0.7500 (multiplicity 6)

size of the total moment = 0.00 Bohr magnetons per cell
DFT formation energy = -0.542 eV per atom

***

Entry 3:
Density functional theory data (PBE) for a relaxed structure of OsPb2W.

Unit cell a=3.240 b=5.374 c=9.288 alpha=90.00 beta=90.00 gamma=90.00
Space group Cmmm (No. 65)
One atom of each set of equivalent atoms:
Os 0.000 0.000 0.000 (multiplicity 2)
Pb 0.000 0.500 0.242 (multiplicity 4)
W 0.000 0.000 0.500 (multiplicity 2)

size of the total moment = 0.00 Bohr magnetons per cell
DFT formation energy = 1.293 eV per atom
polymorph energy (0 for the lowest one) = 3.66 eV per formula unit

***

Entry 4:
Density functional theory data (PBE) for a relaxed structure of Cs2AgHg2.

Unit cell a=10.299 b=10.299 c=4.908 alpha=90.00 beta=90.00 gamma=90.00
Space group P4/mbm (No. 127)
One atom of each set of equivalent atoms:
Cs 0.189 0.311 0.000 (multiplicity 4)
Ag 0.000 0.000 0.000 (multiplicity 2)
Hg 0.107 0.607 0.500 (multiplicity 4)

size of the total moment = 0.00 Bohr magnetons per cell
DFT formation energy = 0.020 eV per atom
polymorph energy (0 for the lowest one) = 0.93 eV per formula unit

***

Entry 5:
Density functional theory data (PBE) for a relaxed structure of TmHfMg2.

Unit cell a=3.291 b=3.291 c=8.985 alpha=90.00 beta=90.00 gamma=90.00
Space group P4mm (No. 99)
One atom of each set of equivalent atoms:
Tm 0.000 0.000 0.000 (multiplicity 1)
Hf 0.500 0.500 0.755 (multiplicity 1)
Mg 0.000 0.000 0.512 (multiplicity 1)
Mg 0.500 0.500 0.276 (multiplicity 1)

size of the total moment = 0.00 Bohr magnetons per cell
DFT formation energy = -0.007 eV per atom
polymorph energy (0 for the lowest one) = 0.00 eV per formula unit

***

Entry 6:
Density functional theory data (PBE) for a relaxed structure of CsLiSi.

Unit cell a=13.479 b=4.706 c=7.259 alpha=90.00 beta=120.76 gamma=90.00
Space group Cm (No. 8)
One atom of each set of equivalent atoms:
Cs 0.000 0.000 0.000 (multiplicity 2)
Cs 0.217 0.000 0.817 (multiplicity 2)
Li 0.024 0.500 0.402 (multiplicity 2)
Li 0.322 0.000 0.418 (multiplicity 2)
Si 0.227 0.500 0.398 (multiplicity 2)
Si 0.394 0.500 0.384 (multiplicity 2)

size of the total moment = 0.00 Bohr magnetons per cell
polymorph energy (0 for the lowest one) = 0.25 eV per formula unit
energy relative to the elements, uncorrected = 0.0285 eV per atom

***

Entry 7:
Density functional theory data (PBE) for a relaxed structure of SrSc2Ag.

Unit cell a=3.495 b=5.448 c=11.533 alpha=90.00 beta=90.00 gamma=90.00
Space group Immm (No. 71)
One atom of each set of equivalent atoms:
Sr 0.000 0.000 0.000 (multiplicity 2)
Sc 0.000 0.500 0.209 (multiplicity 4)
Ag 0.000 0.000 0.500 (multiplicity 2)

size of the total moment = 0.00 Bohr magnetons per cell
DFT formation energy = 0.040 eV per atom
polymorph energy (0 for the lowest one) = 0.17 eV per formula unit

***

Entry 8:
Density functional theory data (PBE) for a relaxed structure of PmPr2Ho3.

Unit cell a=17.017 b=5.591 c=10.243 alpha=90.00 beta=124.15 gamma=90.00
Space group C2/m (No. 12)
One atom of each set of equivalent atoms:
Pm 0.135 0.000 0.145 (multiplicity 4)
Pr 0.015 0.500 0.863 (multiplicity 4)
Pr 0.225 0.000 0.867 (multiplicity 4)
Ho 0.052 0.000 0.400 (multiplicity 4)
Ho 0.111 0.500 0.652 (multiplicity 4)
Ho 0.204 0.500 0.422 (multiplicity 4)

size of the total moment = 0.00 Bohr magnetons per cell
DFT formation energy = 0.099 eV per atom
polymorph energy (0 for the lowest one) = 0.00 eV per formula unit

***

Entry 9:
Density functional theory data (PBE) for a relaxed structure of RbCd4Au.

Unit cell a=17.687 b=7.635 c=5.619 alpha=90.00 beta=101.43 gamma=90.00
Space group C2/m (No. 12)
One atom of each set of equivalent atoms:
Rb 0.216 0.000 0.162 (multiplicity 4)
Cd 0.000 0.199 0.000 (multiplicity 4)
Cd 0.092 0.180 0.579 (multiplicity 8)
Cd 0.098 0.500 0.303 (multiplicity 4)
Au 0.084 0.500 0.808 (multiplicity 4)

size of the total moment = 0.00 Bohr magnetons per cell
DFT formation energy = -0.091 eV per atom
polymorph energy (0 for the lowest one) = 0.02 eV per formula unit

***

Entry 10:
Density functional theory data (PBE) for a relaxed structure of Mn4OsSe.

Unit cell a=6.778 b=6.778 c=6.778 alpha=90.00 beta=90.00 gamma=90.00
Space group F-43m (No. 216)
One atom of each set of equivalent atoms:
Mn 0.124 0.124 0.124 (multiplicity 16)
Os 0.250 0.250 0.750 (multiplicity 4)
Se 0.000 0.000 0.500 (multiplicity 4)

size of the total moment = 26.62 Bohr magnetons per cell
energy relative to the elements, uncorrected = 0.5474 eV per atom

***

Entry 11:
Density functional theory data (PBE) for a relaxed structure of Ba2HgP3Pt12.

Unit cell a=8.3976 b=8.3976 c=18.8721 alpha=90.00 beta=90.00 gamma=120.00
Space group R-3m (No. 166, hexagonal axes)
One atom of each set of equivalent atoms:
Ba 0.0000 0.0000 0.1084 (multiplicity 6)
Hg 0.0000 0.0000 0.5000 (multiplicity 3)
P 0.0000 0.5000 0.0000 (multiplicity 9)
Pt 0.0051 0.5026 0.8803 (multiplicity 18)
Pt 0.0509 0.5255 0.3584 (multiplicity 18)

size of the total moment = 0.00 Bohr magnetons per cell
DFT formation energy = -0.255 eV per atom

***

Entry 12:
Density functional theory data (PBE) for a relaxed structure of Mg2Ga.

Unit cell a=3.269 b=14.963 c=4.969 alpha=90.00 beta=90.00 gamma=90.00
Space group Cmcm (No. 63)
One atom of each set of equivalent atoms:
Mg 0.000 0.059 0.250 (multiplicity 4)
Mg 0.000 0.268 0.750 (multiplicity 4)
Ga 0.000 0.392 0.250 (multiplicity 4)

size of the total moment = 0.00 Bohr magnetons per cell
DFT formation energy = -0.119 eV per atom

***

Repeat the third record exactly.
Density functional theory data (PBE) for a relaxed structure of OsPb2W.

Unit cell a=3.240 b=5.374 c=9.288 alpha=90.00 beta=90.00 gamma=90.00
Space group Cmmm (No. 65)
One atom of each set of equivalent atoms:
Os 0.000 0.000 0.000 (multiplicity 2)
Pb 0.000 0.500 0.242 (multiplicity 4)
W 0.000 0.000 0.500 (multiplicity 2)

size of the total moment = 0.00 Bohr magnetons per cell
DFT formation energy = 1.293 eV per atom
polymorph energy (0 for the lowest one) = 3.66 eV per formula unit

***

Question: Which of these has the highest size of the total moment?
Answer: Mn4OsSe

***

Question: Which value of size of the total moment does entry 9 give?
Answer: 0.00 Bohr magnetons per cell